VASP calculation (PBE) on an optimized crystal structure of ErHfBi.

The structure belongs to space group F-43m (No. 216); the cell edges are 7.010, 7.010 and 7.010 Å and the angles 90.00°, 90.00° and 90.00°. Symmetry generates all atoms from Er at (0.000, 0.000, 0.000), Hf at (0.000, 0.000, 0.500) and Bi at (0.250, 0.250, 0.250).

The calculation puts the uncorrected energy at -6.00 eV per atom. The calculation puts the volume at 344.5 Å³ per cell.